No. 1
DFT (meta-GGA SCAN) results for a crystal of CaInFe relaxed with PBEsol.

Cell and atoms, written as POSCAR:
```
CaInFe
1.0
4.704 0.000 0.000
-2.352 4.074 0.000
0.000 0.000 3.400
Ca In Fe
1 1 1
Direct
0.000 0.000 0.000
0.667 0.333 0.500
0.333 0.667 0.500
```

Summary:
As for the space group: P-6m2 (187). The formation energy from the elements comes out at 0.07 eV per atom. Its uncorrected energy is -20.327 eV per atom.

***

No. 2
DFT (meta-GGA SCAN) results for a crystal of Ca4FeIr relaxed with PBEsol.

Cell and atoms, written as POSCAR:
```
Ca4FeIr
1.0
0.000 4.139 4.139
4.139 0.000 4.139
4.139 4.139 0.000
Ca Fe Ir
4 1 1
Direct
0.376 0.376 0.376
0.376 0.376 0.873
0.376 0.873 0.376
0.873 0.376 0.376
0.000 0.000 0.000
0.750 0.750 0.750
```

Summary:
As for the space group: F-43m (216). The formation energy from the elements comes out at 1.06 eV per atom. Its uncorrected energy is -20.249 eV per atom.

***

No. 3
DFT (meta-GGA SCAN) results for a crystal of K2CaFeIr relaxed with PBEsol.

Cell and atoms, written as POSCAR:
```
K2CaFeIr
1.0
5.314 0.000 0.000
0.000 5.314 0.000
0.000 0.000 5.418
K Ca Fe Ir
2 1 1 1
Direct
0.000 0.500 0.000
0.500 0.000 0.000
0.000 0.000 0.500
0.000 0.000 0.000
0.500 0.500 0.500
```

Summary:
As for the space group: P4/mmm (123). The formation energy from the elements comes out at 1.47 eV per atom. Its uncorrected energy is -21.637 eV per atom.